A plane-wave DFT calculation with PBE was carried out for crystalline NaNp6S8 at its relaxed geometry.

Summary:
energy relative to the lowest polymorph listed for this composition: 6.321 eV per formula unit
space-group type: R-3 (148)
ΔE_f (raw): -0.926 eV per atom

extended XYZ file:
```
15
Lattice="5.833 3.368 3.617 -5.833 3.368 3.617 0.000 -6.735 3.617" Properties=species:S:1:pos:R:3 pbc="T T T"
Na 0.000 0.000 0.000
Np -1.920 -0.525 4.731
Np -0.505 -1.925 6.121
Np 1.415 -1.400 4.731
Np -1.415 1.400 6.121
Np 0.505 1.925 4.731
Np 1.920 0.525 6.121
S -2.083 -3.147 4.274
S 0.000 0.000 2.947
S -3.767 0.230 6.578
S -1.684 3.378 4.274
S 1.684 -3.377 6.578
S 3.767 -0.230 4.274
S 0.000 0.000 7.904
S 2.083 3.147 6.578
```


A plane-wave DFT calculation with PBE was carried out for crystalline Er4AgRh3 at its relaxed geometry.

Summary:
space-group type: Pmmm (47)
formation energy: -0.768 eV per atom

extended XYZ file:
```
8
Lattice="3.398 0.000 0.000 0.000 4.927 0.000 0.000 0.000 9.770" Properties=species:S:1:pos:R:3 pbc="T T T"
Er 0.000 0.000 0.000
Er 0.000 0.000 4.885
Er 0.000 2.463 2.325
Er 0.000 2.463 7.444
Ag 1.699 2.463 4.885
Rh 1.699 0.000 2.427
Rh 1.699 0.000 7.342
Rh 1.699 2.463 0.000
```


A plane-wave DFT calculation with PBE was carried out for crystalline Mg3Ga5Au2 at its relaxed geometry.

Summary:
space-group type: Ibam (72)
formation energy: -0.236 eV per atom

extended XYZ file:
```
20
Lattice="-5.542 6.124 2.889 5.542 -6.124 2.889 5.542 6.124 -2.889" Properties=species:S:1:pos:R:3 pbc="T T T"
Mg 1.372 2.753 0.000
Mg 0.000 0.000 1.445
Mg 6.914 3.370 0.000
Mg -1.372 2.753 2.889
Mg 0.000 0.000 4.334
Mg 4.170 3.370 2.889
Ga 4.236 1.744 0.000
Ga 2.782 0.000 1.445
Ga 5.542 0.000 1.445
Ga 8.301 0.000 1.445
Ga 4.236 -1.744 2.889
Ga 1.306 7.868 0.000
Ga -2.760 6.124 1.445
Ga 0.000 6.124 1.445
Ga 2.760 6.124 1.445
Ga 1.306 4.379 2.889
Au 4.064 -4.265 2.889
Au 4.064 4.265 0.000
Au 1.478 1.858 2.889
Au 1.478 10.389 0.000
```


A plane-wave DFT calculation with PBE was carried out for crystalline CaTbHo2S4 at its relaxed geometry.

Summary:
space-group type: P2/m (10)
ΔE_f (raw): -2.016 eV per atom

extended XYZ file:
```
8
Lattice="6.797 0.000 0.000 0.000 3.907 0.000 -2.234 0.000 6.427" Properties=species:S:1:pos:R:3 pbc="T T T"
Ca 0.000 0.000 0.000
Tb -1.117 1.954 3.214
Ho 2.282 0.000 3.214
Ho 3.399 1.954 0.000
S 0.045 0.000 4.831
S 1.170 1.954 1.621
S 3.394 1.954 4.807
S 4.518 0.000 1.596
```


A plane-wave DFT calculation with PBE was carried out for crystalline InCu3HgSe4 at its relaxed geometry.

Summary:
space-group type: P-43m (215)
ΔE_f (raw): -0.059 eV per atom

extended XYZ file:
```
9
Lattice="6.053 0.000 0.000 0.000 6.053 0.000 0.000 0.000 6.053" Properties=species:S:1:pos:R:3 pbc="T T T"
In 0.000 0.000 0.000
Cu 0.000 0.000 3.026
Cu 0.000 3.026 0.000
Cu 3.026 0.000 0.000
Hg 3.026 3.026 3.026
Se 1.490 1.490 1.490
Se 1.490 4.563 4.563
Se 4.563 1.490 4.563
Se 4.563 4.563 1.490
```


A plane-wave DFT calculation with PBE was carried out for crystalline SiRhW2 at its relaxed geometry.

Summary:
space-group type: I-42d (122)
ΔE_f (raw): 0.472 eV per atom

extended XYZ file:
```
8
Lattice="-3.457 3.457 2.678 3.457 -3.457 2.678 3.457 3.457 -2.678" Properties=species:S:1:pos:R:3 pbc="T T T"
Si 0.000 0.000 0.000
Si 0.000 3.457 1.339
Rh 3.457 0.000 1.339
Rh 0.000 0.000 2.678
W 5.186 1.651 -0.670
W 1.651 1.729 0.670
W -1.729 1.806 2.009
W 1.806 1.729 3.348
```


A plane-wave DFT calculation with PBE was carried out for crystalline Cs2AcMgF6 at its relaxed geometry.

Summary:
space-group type: Pmmn (59)
ΔE_f (raw): -3.108 eV per atom

extended XYZ file:
```
20
Lattice="6.221 0.000 0.000 0.000 9.183 0.000 0.000 0.000 6.995" Properties=species:S:1:pos:R:3 pbc="T T T"
Cs 1.555 0.084 1.548
Cs 1.555 4.507 1.548
Cs 4.666 4.676 5.447
Cs 4.666 9.099 5.447
Ac 1.555 2.296 5.068
Ac 4.666 6.887 1.927
Mg 1.555 6.887 5.326
Mg 4.666 2.296 1.668
F 0.016 2.296 3.019
F 0.064 6.887 6.811
F 1.555 4.764 5.311
F 1.555 9.011 5.311
F 3.046 6.887 6.811
F 3.095 2.296 3.019
F 3.126 6.887 3.975
F 3.175 2.296 0.184
F 4.666 0.172 1.684
F 4.666 4.419 1.684
F 6.157 2.296 0.184
F 6.205 6.887 3.975
```


A plane-wave DFT calculation with PBE was carried out for crystalline Tc3NiAg at its relaxed geometry.

Summary:
energy relative to the lowest polymorph listed for this composition: 0.000 eV per formula unit
space-group type: Pm-3m (221)
formation energy: 1.518 eV per atom

extended XYZ file:
```
5
Lattice="4.437 0.000 0.000 0.000 4.437 0.000 0.000 0.000 4.437" Properties=species:S:1:pos:R:3 pbc="T T T"
Tc 0.000 0.000 2.218
Tc 0.000 2.218 0.000
Tc 2.218 0.000 0.000
Ni 0.000 0.000 0.000
Ag 2.218 2.218 2.218
```


Which E_tot belongs to each record? In order, -8.392; -6.163; -2.884; -6.053; -3.311; -9.198; -4.972; -6.428 eV per atom.